# TmWO4F

A geometry-optimized TmWO4F structure (PBE with a Hubbard U, Alexandria via LeMat-Bulk).

The structure in POSCAR format:
```
TmWO4F
1.0
4.7441 -3.6688 0.0000
4.7441 3.6688 0.0000
-2.3672 0.0000 6.7151
Tm W O F
2 2 8 2
Cartesian
1.6188 0.0000 0.8061 Tm
5.5021 0.0000 5.9091 Tm
1.5949 0.0000 4.8445 W
5.5260 0.0000 1.8706 W
0.7945 1.4357 5.6336 O
1.3710 0.0000 3.0599 O
3.7711 0.0000 1.4627 O
0.7945 -1.4357 5.6336 O
6.3264 1.4357 1.0815 O
3.3499 0.0000 5.2524 O
5.7499 0.0000 3.6552 O
6.3264 -1.4357 1.0815 O
-1.7931 0.0000 5.6178 F
8.9140 0.0000 1.0973 F
```

Computed properties:
* total moment: 0.0 μB/f.u.
* crystal system: monoclinic
* electronic total energy: -7.57 eV/atom
* calculated density: 6.191 g/cm³